Entry 1:
Here is an optimized crystal structure of SrFe2Mo from Alexandria via LeMat-Bulk. Energies are from PBE.

## Properties
Symmetry: Pmmm
Polymorph energy (0 for the lowest one): 3.01 eV/f.u.
DFT formation energy: 1217 meV/atom
Density of states at the Fermi level: 5.45 states/eV/f.u.

abc: 3.0692 4.9938 4.5832
angles: 90.00 90.00 90.00
Closest atoms and distances in Å follow each position.
Sites, in units of the cell vectors:
Fe 0.0000 0.0000 0.0000  4 Mo 2.76, 6 Fe 2.93-3.07
Fe 0.5000 0.5000 0.0000  4 Sr 2.76, 6 Fe 2.93-3.07
Mo 0.5000 0.0000 0.5000  4 Fe 2.76, 4 Sr 2.93, 2 Mo 3.07
Sr 0.0000 0.5000 0.5000  4 Fe 2.76, 4 Mo 2.93, 2 Sr 3.07



Entry 2:
Here is an optimized crystal structure of YSe2Cl from Alexandria via LeMat-Bulk. Energies are from PBE.

## Properties
Symmetry: P4mm
Polymorph energy (0 for the lowest one): 1.85 eV/f.u.
Density of states at the Fermi level: 3.45 states/eV/f.u.
Formation energy without anion corrections: -362.4 kJ/mol of formula units

abc: 3.5695 3.5695 8.3844
angles: 90.00 90.00 90.01
Closest atoms and distances in Å follow each position.
Sites, in units of the cell vectors:
Cl 0.5000 0.5000 0.6596  4 Y 3.05, 1 Se 3.08
Se 0.0000 0.0000 0.0919  4 Se 3.03, 1 Y 3.05
Se 0.5000 0.5000 0.2927  4 Y 2.87, 4 Se 3.03, 1 Cl 3.08
Y 0.0000 0.0000 0.4558  5 Se 2.87-3.05, 4 Cl 3.05



Entry 3:
Here is an optimized crystal structure of Y3Ga2Pd7 from Alexandria via LeMat-Bulk. Energies are from PBE.

## Properties
Symmetry: I4/mmm
DFT formation energy: -802 meV/atom
Density of states at the Fermi level: 4.18 states/eV/f.u.

abc: 4.0426 4.0426 14.1346
angles: 98.22 98.22 90.00
Closest atoms and distances in Å follow each position.
Sites, in units of the cell vectors:
Y 0.3252 0.3252 0.6505  5 Pd 2.87-3.14, 4 Ga 3.10
Y 0.6748 0.6748 0.3495  5 Pd 2.87-3.14, 4 Ga 3.10
Y 0.5000 0.5000 0.0000  12 Pd 2.86-2.96
Ga 0.1312 0.1312 0.2624  5 Pd 2.50
Ga 0.8688 0.8688 0.7376  5 Pd 2.50
Pd 0.0000 0.0000 0.0000  4 Y 2.86, 8 Pd 2.96
Pd 0.9221 0.4221 0.8443  2 Ga 2.50
Pd 0.4221 0.9221 0.8443  2 Ga 2.50
Pd 0.0779 0.5779 0.1557  2 Ga 2.50
Pd 0.5779 0.0779 0.1557  2 Ga 2.50
Pd 0.2216 0.2216 0.4433  1 Ga 2.50
Pd 0.7784 0.7784 0.5567  1 Ga 2.50



Entry 4:
Here is an optimized crystal structure of U2Ge3Pt5 from Alexandria via LeMat-Bulk. Energies are from PBE.

## Properties
Symmetry: Ibam
Polymorph energy (0 for the lowest one): 0.19 eV/f.u.
DFT formation energy: -563 meV/atom
Density of states at the Fermi level: 17.19 states/eV/f.u.

abc: 5.7213 8.5604 8.5604
angles: 83.59 70.48 70.48
Closest atoms and distances in Å follow each position.
Sites, in units of the cell vectors:
U 0.1311 0.6028 0.1350  4 Pt 2.90-3.13, 3 Ge 3.14
U 0.6311 0.1350 0.6028  4 Pt 2.90-3.13, 3 Ge 3.14
U 0.8689 0.3972 0.8650  4 Pt 2.90-3.13, 3 Ge 3.14
U 0.3689 0.8650 0.3972  4 Pt 2.90-3.13, 3 Ge 3.14
Ge 0.3654 0.5132 0.7560  5 Pt 2.43-2.51
Ge 0.8654 0.7560 0.5132  5 Pt 2.43-2.51
Ge 0.6346 0.4868 0.2440  5 Pt 2.43-2.51
Ge 0.1346 0.2440 0.4868  5 Pt 2.43-2.51
Ge 0.2500 0.0000 0.0000  6 Pt 2.64-2.66, 2 Ge 2.86
Ge 0.7500 0.0000 0.0000  6 Pt 2.64-2.66, 2 Ge 2.86
Pt 0.3972 0.2704 0.9352  3 Ge 2.43-2.66
Pt 0.8972 0.9352 0.2704  3 Ge 2.43-2.66
Pt 0.6028 0.7296 0.0648  3 Ge 2.43-2.66
Pt 0.1028 0.0648 0.7296  3 Ge 2.43-2.66
Pt 0.4814 0.7686 0.7686  3 Ge 2.51-2.64, 2 Pt 2.80
Pt 0.5186 0.2314 0.2314  3 Ge 2.51-2.64, 2 Pt 2.80
Pt 0.7500 0.5000 0.5000  4 Ge 2.51
Pt 0.2500 0.5000 0.5000  4 Ge 2.51
Pt 0.0186 0.2314 0.2314  3 Ge 2.51-2.64, 2 Pt 2.80
Pt 0.9814 0.7686 0.7686  3 Ge 2.51-2.64, 2 Pt 2.80



Entry 5:
Here is an optimized crystal structure of DySc2Tl2 from Alexandria via LeMat-Bulk. Energies are from PBE.

## Properties
Symmetry: Cmmm
Polymorph energy (0 for the lowest one): 1.66 eV/f.u.
DFT formation energy: 78 meV/atom
Density of states at the Fermi level: 4.99 states/eV/f.u.

abc: 4.7459 4.7459 6.5567
angles: 90.00 90.00 112.11
Closest atoms and distances in Å follow each position.
Sites, in units of the cell vectors:
Dy 0.0000 0.0000 0.0000  4 Tl 3.13
Sc 0.1782 0.8218 0.5000  3 Sc 2.81-2.88, 2 Tl 3.01
Sc 0.8218 0.1782 0.5000  3 Sc 2.81-2.88, 2 Tl 3.01
Tl 0.5000 0.5000 0.7468  2 Sc 3.01, 2 Dy 3.13, 2 Tl 3.24-3.32
Tl 0.5000 0.5000 0.2532  2 Sc 3.01, 2 Dy 3.13, 2 Tl 3.24-3.32



Entry 6:
Here is an optimized crystal structure of PrEr5Sc2 from Alexandria via LeMat-Bulk. Energies are from PBE.

## Properties
Symmetry: I4mm
Polymorph energy (0 for the lowest one): 0.09 eV/f.u.
DFT formation energy: 44 meV/atom
Density of states at the Fermi level: 12.66 states/eV/f.u.

abc: 6.9049 6.9044 6.9503
angles: 119.78 119.78 90.01
Closest atoms and distances in Å follow each position.
Sites, in units of the cell vectors:
Pr 0.2224 0.2224 0.4449  4 Sc 3.45, 8 Er 3.47-3.48
Er 0.7223 0.2219 0.9442  6 Er 3.45-3.48, 2 Pr 3.47-3.48, 4 Sc 3.47-3.48
Er 0.2221 0.2220 0.9442  6 Er 3.45-3.48, 2 Pr 3.47-3.48, 4 Sc 3.48
Er 0.7222 0.7222 0.9442  6 Er 3.45-3.48, 2 Pr 3.47-3.48, 4 Sc 3.48
Er 0.2219 0.7223 0.9442  6 Er 3.45-3.48, 2 Pr 3.47-3.48, 4 Sc 3.47-3.48
Er 0.7219 0.7219 0.4438  4 Sc 3.45, 8 Er 3.47-3.48
Sc 0.2221 0.7221 0.4441  2 Pr 3.45, 10 Er 3.45-3.48
Sc 0.7222 0.2222 0.4443  10 Er 3.45-3.48, 2 Pr 3.45